An optimized crystal structure of LiTmGeRh. Source: the Alexandria database, functional PBE.

As for the total energy: -21.03 eV per cell. Its formation energy is -669 meV/atom.

Structure (extended XYZ):
```
4
Lattice="0.000 3.211 3.211 3.211 0.000 3.211 3.211 3.211 0.000" Properties=species:S:1:pos:R:3 pbc="T T T"
Li 0.000 0.000 0.000
Tm 4.817 4.817 4.817
Ge 1.606 1.606 1.606
Rh 3.211 3.211 3.211
```